1.
Density functional theory data (PBE-GGA) for a relaxed Ac3Tl3Sn crystal.

a b c (Å): 10.120 10.120 5.416
angles (deg): 90.00 90.00 120.00
Sites, in units of the cell vectors:
Ac 0.096 0.658 0.250
Ac 0.342 0.438 0.250
Ac 0.438 0.096 0.750
Ac 0.562 0.904 0.250
Ac 0.658 0.562 0.750
Ac 0.904 0.342 0.750
Tl 0.044 0.827 0.750
Tl 0.173 0.217 0.750
Tl 0.217 0.044 0.250
Tl 0.783 0.956 0.750
Tl 0.827 0.783 0.250
Tl 0.956 0.173 0.250
Sn 0.333 0.667 0.750
Sn 0.667 0.333 0.250

- Space-group type: P6_3/m
- Magnetization: 0.000 μB per atom
- Offset from the most stable computed form: 0.0578 eV/atom
- Density: 9768 kg/m³

2.
Density functional theory data (PBE-GGA) for a relaxed Ac7TlSn5 crystal.

a b c (Å): 9.061 9.061 9.061
angles (deg): 136.03 96.01 100.11
Sites, in units of the cell vectors:
Ac 0.000 0.000 0.000
Ac 0.318 0.647 0.671
Ac 0.390 0.390 0.000
Ac 0.454 0.119 0.334
Ac 0.785 0.119 0.666
Ac 0.862 0.362 0.500
Ac 0.975 0.647 0.329
Tl 0.694 0.694 0.000
Sn 0.131 0.141 0.496
Sn 0.131 0.635 0.990
Sn 0.380 0.880 0.500
Sn 0.645 0.141 0.010
Sn 0.645 0.635 0.504

- Space-group type: Imm2
- Magnetization: 0.000 μB per atom
- Total DFT energy (no corrections): -4.37 eV per atom
- Density: 8282 kg/m³

3.
Density functional theory data (PBE-GGA) for a relaxed AcTl4Sn2 crystal.

a b c (Å): 10.729 10.729 4.733
angles (deg): 90.00 90.00 154.93
Sites, in units of the cell vectors:
Ac 0.000 0.000 0.000
Tl 0.178 0.822 0.500
Tl 0.324 0.676 0.000
Tl 0.676 0.324 0.000
Tl 0.822 0.178 0.500
Sn 0.431 0.569 0.500
Sn 0.569 0.431 0.500

- Space-group type: Cmmm
- Magnetization: 0.000 μB per atom
- Total DFT energy (no corrections): -3.27 eV per atom
- Density: 9221 kg/m³

Which of these has the highest density?
Ac3Tl3Sn

Look up the magnetization of the second one.
0.000 μB per atom

Look up the density of the first one.
9768 kg/m³